1.
This record from Alexandria via LeMat-Bulk describes crystalline BaRhSe3 at its relaxed geometry. The functional is PBE-GGA.

```
BaRhSe3
1.0
5.045 0.000 0.000
0.000 5.045 0.000
0.000 0.000 5.045
Ba Rh Se
1 1 3
Direct
0.000 0.000 0.000
0.500 0.500 0.500
0.000 0.500 0.500
0.500 0.000 0.500
0.500 0.500 0.000
```

Summary:
space-group type: Pm-3m
total energy: -4.6739 eV per atom
energy above the most stable polymorph in this dataset: 0.0 meV per atom

---

2.
This record from Alexandria via LeMat-Bulk describes crystalline Ba2TcRhSe at its relaxed geometry. The functional is PBE-GGA.

```
Ba2TcRhSe
1.0
6.181 0.000 0.000
0.000 6.181 0.000
0.000 0.000 4.604
Ba Tc Rh Se
2 1 1 1
Direct
0.000 0.500 0.000
0.500 0.000 0.000
0.000 0.000 0.500
0.500 0.500 0.500
0.000 0.000 0.000
```

Summary:
space-group type: P4/mmm
total energy: -4.6785 eV per atom

---

no.,E_form (uncorrected) (meV/atom),DOS at the Fermi energy (states/eV/f.u.),theoretical density (g cm⁻³)
1,-728.4,6.894,6.17
2,331.0,4.745,5.23